Entry from Alexandria via LeMat-Bulk: a relaxed Tm4Cu2Ag crystal (PBE).

Properties
- energy above the most stable polymorph in this dataset (meV per atom) = 102.8
- ρ (Mg/m³) = 8.8
- total energy (eV per atom) = -4.19
- formation energy (kJ per mole of atoms) = -5.36
- DOS(E_F) (states/eV per atom) = 0.95

a = 4.688 Å, b = 4.688 Å, c = 9.414 Å
α = 75.58°, β = 75.58°, γ = 60.00°
Sites, in units of the cell vectors:
Cu 0.097 0.097 0.708
Cu 0.903 0.903 0.292
Tm 0.798 0.798 0.607
Tm 0.384 0.384 0.849
Tm 0.616 0.616 0.151
Tm 0.202 0.202 0.393
Ag 0.000 0.000 0.000

Entry from Alexandria via LeMat-Bulk: a relaxed Tm2Cu15Ag2 crystal (PBE).

Properties
- ρ (Mg/m³) = 9.2
- total energy (eV per atom) = -4.11
- formation energy (kJ per mole of atoms) = -9.77
- DOS(E_F) (states/eV per atom) = 0.45

a = 6.524 Å, b = 6.524 Å, c = 6.524 Å
α = 83.21°, β = 83.21°, γ = 83.21°
Sites, in units of the cell vectors:
Cu 0.349 0.839 0.349
Cu 0.651 0.651 0.161
Cu 0.000 0.500 0.000
Cu 0.500 0.000 0.000
Cu 0.000 0.304 0.696
Cu 0.304 0.000 0.696
Cu 0.161 0.651 0.651
Cu 0.651 0.161 0.651
Cu 0.696 0.000 0.304
Cu 0.000 0.696 0.304
Cu 0.000 0.000 0.500
Cu 0.839 0.349 0.349
Cu 0.696 0.304 0.000
Cu 0.349 0.349 0.839
Cu 0.304 0.696 0.000
Tm 0.652 0.652 0.652
Tm 0.348 0.348 0.348
Ag 0.106 0.106 0.106
Ag 0.894 0.894 0.894

Entry from Alexandria via LeMat-Bulk: a relaxed TmCuAg crystal (PBE).

Properties
- energy above the most stable polymorph in this dataset (meV per atom) = 51.8
- ρ (Mg/m³) = 9.8
- total energy (eV per atom) = -4.05
- formation energy (kJ per mole of atoms) = -23.89
- DOS(E_F) (states/eV per atom) = 0.28

a = 5.132 Å, b = 7.179 Å, c = 7.178 Å
α = 90.11°, β = 69.51°, γ = 69.76°
Sites, in units of the cell vectors:
Cu 0.665 0.333 0.585
Cu 0.335 0.167 0.915
Cu 0.665 0.833 0.085
Cu 0.335 0.667 0.415
Tm 0.015 0.997 0.246
Tm 0.015 0.497 0.746
Tm 0.985 0.503 0.254
Tm 0.985 0.003 0.754
Ag 0.348 0.664 0.914
Ag 0.652 0.336 0.086
Ag 0.348 0.164 0.414
Ag 0.652 0.836 0.586

Entry from Alexandria via LeMat-Bulk: a relaxed Tm3Cu2Ag crystal (PBE).

Properties
- ρ (Mg/m³) = 9.8
- total energy (eV per atom) = -4.38
- formation energy (kJ per mole of atoms) = -29.56
- DOS(E_F) (states/eV per atom) = 0.40

a = 3.456 Å, b = 3.456 Å, c = 10.548 Å
α = 90.00°, β = 90.00°, γ = 90.00°
Sites, in units of the cell vectors:
Tm 0.000 0.000 0.000
Tm 0.000 0.000 0.679
Tm 0.000 0.000 0.321
Cu 0.500 0.500 0.162
Cu 0.500 0.500 0.838
Ag 0.500 0.500 0.500

Entry from Alexandria via LeMat-Bulk: a relaxed TmCuAg crystal (PBE).

Properties
- energy above the most stable polymorph in this dataset (meV per atom) = 0.0
- ρ (Mg/m³) = 9.7
- total energy (eV per atom) = -4.11
- formation energy (kJ per mole of atoms) = -28.89
- DOS(E_F) (states/eV per atom) = 0.45

a = 3.572 Å, b = 3.885 Å, c = 8.577 Å
α = 90.00°, β = 101.78°, γ = 90.00°
Sites, in units of the cell vectors:
Cu 0.665 0.291 0.842
Cu 0.580 0.791 0.670
Tm 0.014 0.291 0.537
Tm 0.231 0.791 0.975
Ag 0.416 0.791 0.342
Ag 0.829 0.291 0.170

Entry from Alexandria via LeMat-Bulk: a relaxed Tm8CuAg2 crystal (PBE).

Properties
- ρ (Mg/m³) = 9.5
- total energy (eV per atom) = -4.27
- formation energy (kJ per mole of atoms) = -12.48
- DOS(E_F) (states/eV per atom) = 0.94

a = 5.116 Å, b = 6.737 Å, c = 9.033 Å
α = 106.14°, β = 106.45°, γ = 90.00°
Sites, in units of the cell vectors:
Tm 0.199 0.310 0.399
Tm 0.408 0.553 0.817
Tm 0.592 0.447 0.183
Tm 0.028 0.783 0.055
Tm 0.338 0.029 0.676
Tm 0.972 0.217 0.945
Tm 0.662 0.971 0.324
Tm 0.801 0.690 0.601
Ag 0.185 0.721 0.370
Ag 0.815 0.279 0.630
Cu 0.500 0.000 0.000